No. 1
The following is a GGA-PBE calculation of an optimized crystal structure of PrTlPb2, from OQMD via LeMat-Bulk.

Mass density, Mg/m³: 10.729
Total magnetization, μB/f.u.: 0.0
Calculated total energy, eV per atom: -4.019

Cell lengths 4.857, 4.857, 4.984 Å; angles 90.00, 90.00, 90.00 degrees
Atoms (fractional coordinates):
Pb  0.500  0.000  0.000
Pb  0.000  0.500  0.000
Pr  0.000  0.000  0.500
Tl  0.500  0.500  0.500

---

No. 2
The following is a GGA-PBE calculation of an optimized crystal structure of PrUPb, from OQMD via LeMat-Bulk.

Mass density, Mg/m³: 9.039
E above lowest polymorph, meV/atom: 0
Total magnetization, μB/f.u.: 4.3
Calculated total energy, eV per atom: -6.093

Cell lengths 5.340, 5.340, 5.340 Å; angles 60.00, 60.00, 60.00 degrees
Atoms (fractional coordinates):
Pb  0.000  0.000  0.000
Pr  0.250  0.250  0.250
U  0.750  0.750  0.750

---

No. 3
The following is a GGA-PBE calculation of an optimized crystal structure of PrPbW, from OQMD via LeMat-Bulk.

Mass density, Mg/m³: 9.278
E above lowest polymorph, meV/atom: 472
Total magnetization, μB/f.u.: 3.4
Calculated total energy, eV per atom: -5.686

Cell lengths 5.125, 5.125, 5.125 Å; angles 60.00, 60.00, 60.00 degrees
Atoms (fractional coordinates):
Pb  0.250  0.250  0.250
Pr  0.000  0.000  0.000
W  0.750  0.750  0.750